First-principles (PBE) data for a geometry-optimized Th3BeP2Rh9 structure, as listed in the Alexandria database.

Properties
Symmetry ... P-3m1
Energy relative to the elements ... -786.7 meV per atom
Magnetization ... 0.0 μB per formula unit

Unit cell a=6.6072 b=6.6072 c=6.9397 alpha=90.00 beta=90.00 gamma=120.00
Last column: nearest neighbours and their distance in Å.
Element x y z (fractional)
P 0.3333 0.6667 0.1925  6 Rh 2.24-2.33
P 0.6667 0.3333 0.8075  6 Rh 2.24-2.33
Rh 0.6912 0.8456 0.3238  1 Be 2.15, 1 P 2.24
Rh 0.3088 0.1544 0.6762  1 Be 2.15, 1 P 2.24
Rh 0.0000 0.5000 0.0000  2 P 2.33
Rh 0.8456 0.1544 0.6762  1 Be 2.15, 1 P 2.24
Rh 0.1544 0.3088 0.3238  1 Be 2.15, 1 P 2.24
Rh 0.1544 0.8456 0.3238  1 Be 2.15, 1 P 2.24
Rh 0.5000 0.5000 0.0000  2 P 2.33
Rh 0.5000 0.0000 0.0000  2 P 2.33
Rh 0.8456 0.6912 0.6762  1 Be 2.15, 1 P 2.24
Be 0.0000 0.0000 0.5000  6 Rh 2.15
Th 0.6667 0.3333 0.3417  12 Rh 3.04-3.31, 1 P 3.23
Th 0.0000 0.0000 0.0000  6 Rh 2.86
Th 0.3333 0.6667 0.6583  12 Rh 3.04-3.31, 1 P 3.23